## TbPm2In2 (GGA-PBE)

Data for a geometry-optimized TbPm2In2 structure.

Values from the calculation:
ΔH_f (0 K) = -0.338 eV/atom
DFT total energy = -4.26 eV/atom
E above lowest polymorph = 48 meV per atom

Cell lengths 8.551, 8.551, 6.586 Å; angles 90.00, 90.00, 142.20 degrees
Sites, in units of the cell vectors:
Tb: 0.096 0.904 0.500
Tb: 0.904 0.096 0.000
Pm: 0.301 0.699 0.740
Pm: 0.471 0.529 0.294
Pm: 0.529 0.471 0.794
Pm: 0.699 0.301 0.240
In: 0.102 0.898 0.014
In: 0.282 0.718 0.227
In: 0.718 0.282 0.727
In: 0.898 0.102 0.514

=====

## Tb4Pm3In (GGA-PBE)

Data for a geometry-optimized Tb4Pm3In structure.

Values from the calculation:
ΔH_f (0 K) = -0.109 eV/atom
DFT total energy = -4.55 eV/atom

Cell lengths 11.319, 7.127, 6.241 Å; angles 90.00, 90.00, 90.00 degrees
Sites, in units of the cell vectors:
Tb: 0.000 0.123 0.000
Tb: 0.000 0.870 0.474
Tb: 0.238 0.874 0.823
Tb: 0.262 0.126 0.323
Tb: 0.500 0.130 0.974
Tb: 0.500 0.877 0.500
Tb: 0.738 0.126 0.323
Tb: 0.762 0.874 0.823
Pm: 0.000 0.372 0.463
Pm: 0.240 0.384 0.804
Pm: 0.260 0.616 0.304
Pm: 0.500 0.628 0.963
Pm: 0.740 0.616 0.304
Pm: 0.760 0.384 0.804
In: 0.000 0.632 0.983
In: 0.500 0.368 0.483

=====

## Tb3Pm3In (GGA-PBE)

Data for a geometry-optimized Tb3Pm3In structure.

Values from the calculation:
ΔH_f (0 K) = -0.111 eV/atom
DFT total energy = -4.52 eV/atom
E above lowest polymorph = 0 meV per atom

Cell lengths 9.494, 9.494, 5.636 Å; angles 90.00, 90.00, 120.00 degrees
Sites, in units of the cell vectors:
Tb: 0.061 0.240 0.250
Tb: 0.179 0.939 0.250
Tb: 0.240 0.179 0.750
Tb: 0.760 0.821 0.250
Tb: 0.821 0.061 0.750
Tb: 0.939 0.760 0.750
Pm: 0.106 0.477 0.750
Pm: 0.371 0.894 0.750
Pm: 0.477 0.371 0.250
Pm: 0.523 0.629 0.750
Pm: 0.629 0.106 0.250
Pm: 0.894 0.523 0.250
In: 0.333 0.667 0.250
In: 0.667 0.333 0.750

=====

## Tb2PmIn (GGA-PBE)

Data for a geometry-optimized Tb2PmIn structure.

Values from the calculation:
ΔH_f (0 K) = -0.136 eV/atom
DFT total energy = -4.32 eV/atom
E above lowest polymorph = 134 meV per atom

Cell lengths 11.091, 11.091, 11.091 Å; angles 18.88, 18.88, 18.88 degrees
Sites, in units of the cell vectors:
Tb: 0.000 0.000 0.000
Tb: 0.180 0.180 0.180
Pm: 0.423 0.423 0.423
In: 0.590 0.590 0.590

=====

## TbPm2In4 (GGA-PBE)

Data for a geometry-optimized TbPm2In4 structure.

Values from the calculation:
ΔH_f (0 K) = -0.325 eV/atom
DFT total energy = -3.91 eV/atom

Cell lengths 8.345, 8.345, 8.345 Å; angles 142.96, 142.96, 53.38 degrees
Sites, in units of the cell vectors:
Tb: 0.000 0.000 0.000
Pm: 0.252 0.252 0.000
Pm: 0.748 0.748 0.000
In: 0.112 0.612 0.500
In: 0.388 0.888 0.500
In: 0.612 0.112 0.500
In: 0.888 0.388 0.500

=====

## Tb2PmIn2 (GGA-PBE)

Data for a geometry-optimized Tb2PmIn2 structure.

Values from the calculation:
ΔH_f (0 K) = -0.069 eV/atom
DFT total energy = -3.97 eV/atom
E above lowest polymorph = 309 meV per atom

Cell lengths 5.192, 5.192, 12.889 Å; angles 90.00, 90.00, 120.00 degrees
Sites, in units of the cell vectors:
Tb: 0.000 0.000 0.000
Tb: 0.000 0.000 0.500
Tb: 0.333 0.667 0.250
Tb: 0.667 0.333 0.750
Pm: 0.000 0.000 0.250
Pm: 0.000 0.000 0.750
In: 0.333 0.667 0.630
In: 0.333 0.667 0.870
In: 0.667 0.333 0.130
In: 0.667 0.333 0.370

=====

## TbPmIn4 (GGA-PBE)

Data for a geometry-optimized TbPmIn4 structure.

Values from the calculation:
ΔH_f (0 K) = -0.381 eV/atom
DFT total energy = -3.77 eV/atom
E above lowest polymorph = 59 meV per atom

Cell lengths 6.035, 6.035, 6.035 Å; angles 60.00, 60.00, 60.00 degrees
Sites, in units of the cell vectors:
Tb: 0.000 0.000 0.000
Pm: 0.750 0.750 0.750
In: 0.375 0.375 0.375
In: 0.375 0.375 0.875
In: 0.375 0.875 0.375
In: 0.875 0.375 0.375

=====

## Tb9Pm2In (GGA-PBE)

Data for a geometry-optimized Tb9Pm2In structure.

Values from the calculation:
ΔH_f (0 K) = -0.065 eV/atom
DFT total energy = -4.56 eV/atom

Cell lengths 4.974, 4.974, 15.189 Å; angles 90.00, 90.00, 90.00 degrees
Sites, in units of the cell vectors:
Tb: 0.000 0.000 0.000
Tb: 0.000 0.000 0.328
Tb: 0.000 0.000 0.672
Tb: 0.000 0.500 0.160
Tb: 0.000 0.500 0.500
Tb: 0.000 0.500 0.840
Tb: 0.500 0.000 0.160
Tb: 0.500 0.000 0.500
Tb: 0.500 0.000 0.840
Pm: 0.500 0.500 0.332
Pm: 0.500 0.500 0.668
In: 0.500 0.500 0.000

=====

## Tb3PmIn2 (GGA-PBE)

Data for a geometry-optimized Tb3PmIn2 structure.

Values from the calculation:
ΔH_f (0 K) = -0.357 eV/atom
DFT total energy = -4.38 eV/atom
E above lowest polymorph = 0 meV per atom

Cell lengths 5.256, 9.893, 6.766 Å; angles 90.00, 90.00, 90.00 degrees
Sites, in units of the cell vectors:
Tb: 0.000 0.039 0.000
Tb: 0.000 0.318 0.344
Tb: 0.000 0.682 0.844
Tb: 0.000 0.961 0.500
Tb: 0.500 0.177 0.720
Tb: 0.500 0.823 0.220
Pm: 0.500 0.463 0.066
Pm: 0.500 0.537 0.566
In: 0.000 0.354 0.817
In: 0.000 0.646 0.317
In: 0.500 0.143 0.246
In: 0.500 0.857 0.746

=====

## Tb5Pm4In (GGA-PBE)

Data for a geometry-optimized Tb5Pm4In structure.

Values from the calculation:
ΔH_f (0 K) = 0.009 eV/atom
DFT total energy = -4.48 eV/atom
E above lowest polymorph = 0 meV per atom

Cell lengths 4.175, 4.175, 18.233 Å; angles 90.00, 90.00, 90.00 degrees
Sites, in units of the cell vectors:
Tb: 0.000 0.000 0.000
Tb: 0.000 0.000 0.207
Tb: 0.000 0.000 0.412
Tb: 0.000 0.000 0.588
Tb: 0.000 0.000 0.793
Pm: 0.500 0.500 0.102
Pm: 0.500 0.500 0.304
Pm: 0.500 0.500 0.696
Pm: 0.500 0.500 0.898
In: 0.500 0.500 0.500

=====

## Tb4Pm4In (GGA-PBE)

Data for a geometry-optimized Tb4Pm4In structure.

Values from the calculation:
ΔH_f (0 K) = -0.073 eV/atom
DFT total energy = -4.55 eV/atom

Cell lengths 7.991, 7.991, 7.991 Å; angles 95.54, 95.54, 143.81 degrees
Sites, in units of the cell vectors:
Tb: 0.161 0.161 0.321
Tb: 0.161 0.839 0.000
Tb: 0.839 0.161 0.000
Tb: 0.839 0.839 0.679
Pm: 0.167 0.500 0.667
Pm: 0.500 0.167 0.667
Pm: 0.500 0.833 0.333
Pm: 0.833 0.500 0.333
In: 0.500 0.500 0.000

=====

## TbPm2In9 (GGA-PBE)

Data for a geometry-optimized TbPm2In9 structure.

Values from the calculation:
ΔH_f (0 K) = -0.455 eV/atom
DFT total energy = -3.69 eV/atom

Cell lengths 4.680, 4.680, 14.040 Å; angles 90.00, 90.00, 90.00 degrees
Sites, in units of the cell vectors:
Tb: 0.000 0.000 0.000
Pm: 0.000 0.000 0.332
Pm: 0.000 0.000 0.668
In: 0.000 0.500 0.164
In: 0.000 0.500 0.500
In: 0.000 0.500 0.836
In: 0.500 0.000 0.164
In: 0.500 0.000 0.500
In: 0.500 0.000 0.836
In: 0.500 0.500 0.000
In: 0.500 0.500 0.333
In: 0.500 0.500 0.667

=====

## Tb3Pm2In (GGA-PBE)

Data for a geometry-optimized Tb3Pm2In structure.

Values from the calculation:
ΔH_f (0 K) = -0.152 eV/atom
DFT total energy = -4.51 eV/atom
E above lowest polymorph = 0 meV per atom

Cell lengths 8.021, 8.021, 4.927 Å; angles 90.00, 90.00, 144.43 degrees
Sites, in units of the cell vectors:
Tb: 0.000 0.000 0.000
Tb: 0.336 0.664 0.000
Tb: 0.664 0.336 0.000
Pm: 0.162 0.838 0.500
Pm: 0.838 0.162 0.500
In: 0.500 0.500 0.500

=====

## Tb3Pm6In (GGA-PBE)

Data for a geometry-optimized Tb3Pm6In structure.

Values from the calculation:
ΔH_f (0 K) = -0.011 eV/atom
DFT total energy = -4.52 eV/atom
E above lowest polymorph = 0 meV per atom

Cell lengths 12.956, 3.545, 14.481 Å; angles 90.00, 100.68, 90.00 degrees
Sites, in units of the cell vectors:
Tb: 0.072 0.250 0.107
Tb: 0.370 0.750 0.499
Tb: 0.420 0.250 0.903
Tb: 0.580 0.750 0.097
Tb: 0.630 0.250 0.501
Tb: 0.928 0.750 0.893
Pm: 0.111 0.250 0.464
Pm: 0.187 0.750 0.923
Pm: 0.231 0.750 0.287
Pm: 0.246 0.750 0.696
Pm: 0.341 0.250 0.115
Pm: 0.490 0.250 0.692
Pm: 0.510 0.750 0.308
Pm: 0.659 0.750 0.885
Pm: 0.754 0.250 0.304
Pm: 0.769 0.250 0.713
Pm: 0.813 0.250 0.077
Pm: 0.889 0.750 0.536
In: 0.032 0.250 0.728
In: 0.968 0.750 0.272

=====

## Tb4PmIn3 (GGA-PBE)

Data for a geometry-optimized Tb4PmIn3 structure.

Values from the calculation:
ΔH_f (0 K) = -0.319 eV/atom
DFT total energy = -4.26 eV/atom

Cell lengths 9.609, 9.609, 9.609 Å; angles 32.61, 32.61, 32.61 degrees
Sites, in units of the cell vectors:
Tb: 0.114 0.114 0.114
Tb: 0.370 0.370 0.370
Tb: 0.630 0.630 0.630
Tb: 0.886 0.886 0.886
Pm: 0.500 0.500 0.500
In: 0.000 0.000 0.000
In: 0.239 0.239 0.239
In: 0.761 0.761 0.761

=====

## TbPmInTc (GGA-PBE)

Data for a geometry-optimized TbPmInTc structure.

Values from the calculation:
ΔH_f (0 K) = -0.080 eV/atom
DFT total energy = -5.70 eV/atom

Cell lengths 5.152, 5.152, 5.152 Å; angles 60.00, 60.00, 60.00 degrees
Sites, in units of the cell vectors:
Tb: 0.000 0.000 0.000
Pm: 0.500 0.500 0.500
In: 0.250 0.250 0.250
Tc: 0.750 0.750 0.750

=====

## TbPm3In3Te8 (GGA-PBE)

Data for a geometry-optimized TbPm3In3Te8 structure.

Values from the calculation:
Formation energy (no corrections) = -15.312 eV per formula unit
DFT total energy = -4.50 eV/atom

Cell lengths 9.420, 9.420, 9.420 Å; angles 56.46, 56.46, 56.46 degrees
Sites, in units of the cell vectors:
Tb: 0.000 0.000 0.000
Pm: 0.000 0.500 0.500
Pm: 0.500 0.000 0.500
Pm: 0.500 0.500 0.000
In: 0.000 0.000 0.500
In: 0.000 0.500 0.000
In: 0.500 0.000 0.000
Te: 0.241 0.241 0.747
Te: 0.241 0.747 0.241
Te: 0.253 0.759 0.759
Te: 0.255 0.255 0.255
Te: 0.745 0.745 0.745
Te: 0.747 0.241 0.241
Te: 0.759 0.253 0.759
Te: 0.759 0.759 0.253

=====

## TbPmTlIn (GGA-PBE)

Data for a geometry-optimized TbPmTlIn structure.

Values from the calculation:
ΔH_f (0 K) = -0.427 eV/atom
DFT total energy = -4.05 eV/atom
E above lowest polymorph = 0 meV per atom

Cell lengths 5.416, 5.416, 5.416 Å; angles 60.00, 60.00, 60.00 degrees
Sites, in units of the cell vectors:
Tb: 0.000 0.000 0.000
Pm: 0.500 0.500 0.500
Tl: 0.250 0.250 0.250
In: 0.750 0.750 0.750

=====

## TbPmTlIn (GGA-PBE)

Data for a geometry-optimized TbPmTlIn structure.

Values from the calculation:
ΔH_f (0 K) = -0.386 eV/atom
DFT total energy = -4.01 eV/atom
E above lowest polymorph = 41 meV per atom

Cell lengths 5.895, 5.895, 5.895 Å; angles 131.61, 131.61, 70.85 degrees
Sites, in units of the cell vectors:
Tb: 0.000 0.000 0.000
Pm: 0.500 0.500 0.000
Tl: 0.750 0.250 0.500
In: 0.250 0.750 0.500

=====

## Tb6Pm2Tm3In (GGA-PBE)

Data for a geometry-optimized Tb6Pm2Tm3In structure.

Values from the calculation:
ΔH_f (0 K) = -0.052 eV/atom
DFT total energy = -4.51 eV/atom

Cell lengths 6.088, 6.088, 11.686 Å; angles 94.97, 94.97, 120.02 degrees
Sites, in units of the cell vectors:
Tb: 0.084 0.411 0.751
Tb: 0.243 0.243 0.248
Tb: 0.411 0.084 0.751
Tb: 0.589 0.916 0.249
Tb: 0.757 0.757 0.752
Tb: 0.916 0.589 0.249
Pm: 0.334 0.666 0.500
Pm: 0.666 0.334 0.500
Tm: 0.167 0.833 0.000
Tm: 0.500 0.500 0.000
Tm: 0.833 0.167 0.000
In: 0.000 0.000 0.500